Record 1
# Nd8Cu2Os | Alexandria | PBE | optimized geometry
# energy above the most stable polymorph in this dataset = 0 meV per atom
# space-group type = C2/m
# formation enthalpy at 0 K = -0.049 eV/atom
# final energy = -58.11 eV for the cell shown
data_Nd8Cu2Os
_chemical_formula_sum 'Nd8 Cu2 Os1'
_cell_length_a 5.212
_cell_length_b 6.952
_cell_length_c 9.287
_cell_angle_alpha 104.02
_cell_angle_beta 106.30
_cell_angle_gamma 90.00
_symmetry_space_group_name_H-M 'P 1'
_symmetry_Int_Tables_number 1
_symmetry_space_group_name_Hall 'P 1'
loop_
_atom_site_label
_atom_site_type_symbol
_atom_site_fract_x
_atom_site_fract_y
_atom_site_fract_z
_atom_site_occupancy
Cu1 Cu 0.187 0.729 0.374 1
Cu2 Cu 0.813 0.271 0.626 1
Nd1 Nd 0.335 0.023 0.670 1
Nd2 Nd 0.200 0.330 0.400 1
Nd3 Nd 0.032 0.794 0.064 1
Nd4 Nd 0.588 0.439 0.177 1
Nd5 Nd 0.968 0.206 0.936 1
Nd6 Nd 0.665 0.977 0.330 1
Nd7 Nd 0.412 0.561 0.823 1
Nd8 Nd 0.800 0.670 0.600 1
Os1 Os 0.500 0.000 0.000 1

=====

Record 2
# NbNi2Se2 | Alexandria | PBE | optimized geometry
# formation energy without anion corrections = -0.082 eV/atom
# energy above the most stable polymorph in this dataset = 32 meV per atom
# space-group type = I4/mmm
# final energy = -29.01 eV for the cell shown
data_NbNi2Se2
_chemical_formula_sum 'Nb1 Ni2 Se2'
_cell_length_a 3.392
_cell_length_b 3.392
_cell_length_c 7.028
_cell_angle_alpha 76.04
_cell_angle_beta 76.04
_cell_angle_gamma 90.00
_symmetry_space_group_name_H-M 'P 1'
_symmetry_Int_Tables_number 1
_symmetry_space_group_name_Hall 'P 1'
loop_
_atom_site_label
_atom_site_type_symbol
_atom_site_fract_x
_atom_site_fract_y
_atom_site_fract_z
_atom_site_occupancy
Se1 Se 0.386 0.386 0.228 1
Se2 Se 0.614 0.614 0.772 1
Ni1 Ni 0.250 0.750 0.500 1
Ni2 Ni 0.750 0.250 0.500 1
Nb1 Nb 0.000 0.000 0.000 1